Entry 1:
First-principles (PBE) data for Mn3PdBr after structural relaxation, as listed in the Alexandria database. Values from VASP.

Geometry as Quantum ESPRESSO input:
```
&SYSTEM
  ibrav = 0, nat = 5, ntyp = 3
/
ATOMIC_SPECIES
Mn 54.94 Mn.upf
Pd 106.42 Pd.upf
Br 79.90 Br.upf
CELL_PARAMETERS angstrom
4.270 0.000 0.000
0.000 4.270 0.000
0.000 0.000 4.270
ATOMIC_POSITIONS crystal
Mn 0.000 0.000 0.500
Mn 0.000 0.500 0.000
Mn 0.500 0.000 0.000
Pd 0.500 0.500 0.500
Br 0.000 0.000 0.000
```

**Density of states at the Fermi level**: 6.13 states/eV/cell
**Relative energy among the computed polymorphs**: 0.7625 eV/atom
**Uncorrected formation energy**: 1.430 eV per atom
**Crystal system**: cubic



Entry 2:
First-principles (PBE) data for NpZnHg2 after structural relaxation, as listed in the Alexandria database. Values from VASP.

Geometry as Quantum ESPRESSO input:
```
&SYSTEM
  ibrav = 0, nat = 4, ntyp = 3
/
ATOMIC_SPECIES
Np 237.00 Np.upf
Zn 65.41 Zn.upf
Hg 200.59 Hg.upf
CELL_PARAMETERS angstrom
4.536 0.000 0.000
0.000 4.536 0.000
0.000 0.000 4.647
ATOMIC_POSITIONS crystal
Np 0.000 0.000 0.000
Zn 0.500 0.500 0.000
Hg 0.000 0.500 0.500
Hg 0.500 0.000 0.500
```

**Density of states at the Fermi level**: 9.96 states/eV/cell
**Relative energy among the computed polymorphs**: 0.0708 eV/atom
**Crystal system**: tetragonal



Entry 3:
First-principles (PBE) data for Ac3LaPb after structural relaxation, as listed in the Alexandria database. Values from VASP.

Geometry as Quantum ESPRESSO input:
```
&SYSTEM
  ibrav = 0, nat = 10, ntyp = 3
/
ATOMIC_SPECIES
Ac 227.00 Ac.upf
La 138.91 La.upf
Pb 207.20 Pb.upf
CELL_PARAMETERS angstrom
4.072 0.000 0.000
2.033 7.930 0.000
2.031 2.936 12.717
ATOMIC_POSITIONS crystal
Ac 0.115 0.229 0.041
Ac 0.337 0.296 0.530
Ac 0.364 0.542 0.230
Ac 0.636 0.458 0.770
Ac 0.663 0.704 0.470
Ac 0.885 0.771 0.959
La 0.025 0.103 0.347
La 0.975 0.897 0.653
Pb 0.303 0.087 0.808
Pb 0.697 0.913 0.192
```

**Density of states at the Fermi level**: 13.15 states/eV/cell
**Energy**: -4.36 eV per atom
**Crystal system**: triclinic



Entry 4:
First-principles (PBE) data for TaTi3Al2 after structural relaxation, as listed in the Alexandria database. Values from VASP.

Geometry as Quantum ESPRESSO input:
```
&SYSTEM
  ibrav = 0, nat = 12, ntyp = 3
/
ATOMIC_SPECIES
Ta 180.95 Ta.upf
Ti 47.87 Ti.upf
Al 26.98 Al.upf
CELL_PARAMETERS angstrom
9.150 0.000 0.000
-4.575 7.924 0.000
0.000 0.000 2.751
ATOMIC_POSITIONS crystal
Ta 0.333 0.667 0.000
Ta 0.667 0.333 0.000
Ti 0.166 0.331 0.000
Ti 0.166 0.834 0.000
Ti 0.331 0.166 0.000
Ti 0.669 0.834 0.000
Ti 0.834 0.166 0.000
Ti 0.834 0.669 0.000
Al 0.000 0.000 0.500
Al 0.000 0.500 0.500
Al 0.500 0.000 0.500
Al 0.500 0.500 0.500
```

**Density of states at the Fermi level**: 14.16 states/eV/cell
**Relative energy among the computed polymorphs**: 0.0000 eV/atom
**Crystal system**: hexagonal



Entry 5:
First-principles (PBE) data for RbIn2Hg4Pb after structural relaxation, as listed in the Alexandria database. Values from VASP.

Geometry as Quantum ESPRESSO input:
```
&SYSTEM
  ibrav = 0, nat = 8, ntyp = 4
/
ATOMIC_SPECIES
Rb 85.47 Rb.upf
In 114.82 In.upf
Hg 200.59 Hg.upf
Pb 207.20 Pb.upf
CELL_PARAMETERS angstrom
2.577 1.488 11.206
-2.577 1.488 11.206
0.000 -2.976 11.206
ATOMIC_POSITIONS crystal
Rb 0.000 0.000 0.000
In 0.231 0.231 0.231
In 0.769 0.769 0.769
Hg 0.128 0.128 0.128
Hg 0.396 0.396 0.396
Hg 0.604 0.604 0.604
Hg 0.872 0.872 0.872
Pb 0.500 0.500 0.500
```

**Density of states at the Fermi level**: 1.90 states/eV/cell
**Energy**: -1.52 eV per atom
**Crystal system**: trigonal



Entry 6:
First-principles (PBE) data for Li8BiO3 after structural relaxation, as listed in the Alexandria database. Values from VASP.

Geometry as Quantum ESPRESSO input:
```
&SYSTEM
  ibrav = 0, nat = 12, ntyp = 3
/
ATOMIC_SPECIES
Li 6.94 Li.upf
Bi 208.98 Bi.upf
O 16.00 O.upf
CELL_PARAMETERS angstrom
5.300 0.000 0.000
0.000 5.300 0.000
0.000 0.000 5.300
ATOMIC_POSITIONS crystal
Li 0.225 0.225 0.225
Li 0.225 0.225 0.775
Li 0.225 0.775 0.225
Li 0.225 0.775 0.775
Li 0.775 0.225 0.225
Li 0.775 0.225 0.775
Li 0.775 0.775 0.225
Li 0.775 0.775 0.775
Bi 0.500 0.500 0.500
O 0.000 0.000 0.500
O 0.000 0.500 0.000
O 0.500 0.000 0.000
```

**Density of states at the Fermi level**: 5.38 states/eV/cell
**Uncorrected formation energy**: -1.039 eV per atom
**Crystal system**: cubic



Entry 7:
First-principles (PBE) data for CsNp2Cl7 after structural relaxation, as listed in the Alexandria database. Values from VASP.

Geometry as Quantum ESPRESSO input:
```
&SYSTEM
  ibrav = 0, nat = 10, ntyp = 3
/
ATOMIC_SPECIES
Cs 132.91 Cs.upf
Np 237.00 Np.upf
Cl 35.45 Cl.upf
CELL_PARAMETERS angstrom
4.349 -7.142 0.000
4.349 7.142 0.000
0.000 0.000 5.457
ATOMIC_POSITIONS crystal
Cs 0.000 0.000 0.000
Np 0.307 0.693 0.500
Np 0.693 0.307 0.500
Cl 0.045 0.329 0.500
Cl 0.297 0.703 0.000
Cl 0.329 0.045 0.500
Cl 0.500 0.500 0.500
Cl 0.671 0.955 0.500
Cl 0.703 0.297 0.000
Cl 0.955 0.671 0.500
```

**Density of states at the Fermi level**: 20.36 states/eV/cell
**Uncorrected formation energy**: -1.788 eV per atom
**Crystal system**: orthorhombic



Entry 8:
First-principles (PBE) data for ReTc2SBr after structural relaxation, as listed in the Alexandria database. Values from VASP.

Geometry as Quantum ESPRESSO input:
```
&SYSTEM
  ibrav = 0, nat = 5, ntyp = 4
/
ATOMIC_SPECIES
Re 186.21 Re.upf
Tc 98.00 Tc.upf
S 32.06 S.upf
Br 79.90 Br.upf
CELL_PARAMETERS angstrom
4.859 0.000 0.000
0.000 4.859 0.000
0.000 0.000 4.794
ATOMIC_POSITIONS crystal
Re 0.000 0.000 0.000
Tc 0.000 0.500 0.000
Tc 0.500 0.000 0.000
S 0.500 0.500 0.500
Br 0.000 0.000 0.500
```

**Density of states at the Fermi level**: 5.19 states/eV/cell
**Uncorrected formation energy**: 1.723 eV per atom
**Crystal system**: tetragonal



Entry 9:
First-principles (PBE) data for Mg3Mo12Se16 after structural relaxation, as listed in the Alexandria database. Values from VASP.

Geometry as Quantum ESPRESSO input:
```
&SYSTEM
  ibrav = 0, nat = 31, ntyp = 3
/
ATOMIC_SPECIES
Mg 24.30 Mg.upf
Mo 95.94 Mo.upf
Se 78.96 Se.upf
CELL_PARAMETERS angstrom
6.961 0.000 0.000
-0.893 6.920 0.000
-0.778 -1.076 13.799
ATOMIC_POSITIONS crystal
Mg 0.000 0.000 0.000
Mg 0.062 0.956 0.539
Mg 0.529 0.976 0.270
Mo 0.263 0.410 0.043
Mo 0.283 0.368 0.544
Mo 0.444 0.531 0.888
Mo 0.461 0.501 0.390
Mo 0.481 0.752 0.059
Mo 0.499 0.719 0.562
Mo 0.564 0.236 0.977
Mo 0.582 0.203 0.480
Mo 0.603 0.454 0.149
Mo 0.619 0.424 0.651
Mo 0.781 0.587 0.995
Mo 0.801 0.545 0.496
Se 0.157 0.693 0.948
Se 0.173 0.656 0.452
Se 0.235 0.194 0.878
Se 0.251 0.160 0.377
Se 0.309 0.614 0.211
Se 0.317 0.585 0.704
Se 0.372 0.112 0.122
Se 0.411 0.082 0.635
Se 0.652 0.873 0.904
Se 0.692 0.844 0.417
Se 0.747 0.371 0.835
Se 0.754 0.340 0.328
Se 0.812 0.796 0.162
Se 0.829 0.761 0.661
Se 0.891 0.300 0.088
Se 0.906 0.262 0.591
```

**Density of states at the Fermi level**: 16.20 states/eV/cell
**Uncorrected formation energy**: -0.637 eV per atom
**Crystal system**: triclinic



Entry 10:
First-principles (PBE) data for KGeBi after structural relaxation, as listed in the Alexandria database. Values from VASP.

Geometry as Quantum ESPRESSO input:
```
&SYSTEM
  ibrav = 0, nat = 6, ntyp = 3
/
ATOMIC_SPECIES
K 39.10 K.upf
Ge 72.64 Ge.upf
Bi 208.98 Bi.upf
CELL_PARAMETERS angstrom
2.149 1.241 13.583
-2.149 1.241 13.583
0.000 -2.481 13.583
ATOMIC_POSITIONS crystal
K 0.239 0.239 0.239
K 0.761 0.761 0.761
Ge 0.156 0.156 0.156
Ge 0.844 0.844 0.844
Bi 0.355 0.355 0.355
Bi 0.645 0.645 0.645
```

**Density of states at the Fermi level**: 3.76 states/eV/cell
**Relative energy among the computed polymorphs**: 0.0247 eV/atom
**Crystal system**: trigonal



Entry 11:
First-principles (PBE) data for MnTl2PdBr6 after structural relaxation, as listed in the Alexandria database. Values from VASP.

Geometry as Quantum ESPRESSO input:
```
&SYSTEM
  ibrav = 0, nat = 10, ntyp = 4
/
ATOMIC_SPECIES
Mn 54.94 Mn.upf
Tl 204.38 Tl.upf
Pd 106.42 Pd.upf
Br 79.90 Br.upf
CELL_PARAMETERS angstrom
6.016 0.000 0.000
0.037 7.278 0.000
0.778 3.572 6.954
ATOMIC_POSITIONS crystal
Mn 0.000 0.000 0.000
Tl 0.199 0.693 0.625
Tl 0.801 0.307 0.375
Pd 0.500 0.500 0.000
Br 0.216 0.159 0.667
Br 0.246 0.656 0.162
Br 0.251 0.183 0.157
Br 0.749 0.817 0.843
Br 0.754 0.344 0.838
Br 0.784 0.841 0.333
```

**Uncorrected formation energy**: -0.654 eV per atom
**Crystal system**: triclinic



Entry 12:
First-principles (PBE) data for ZnMoW after structural relaxation, as listed in the Alexandria database. Values from VASP.

Geometry as Quantum ESPRESSO input:
```
&SYSTEM
  ibrav = 0, nat = 3, ntyp = 3
/
ATOMIC_SPECIES
Zn 65.41 Zn.upf
Mo 95.94 Mo.upf
W 183.84 W.upf
CELL_PARAMETERS angstrom
0.000 2.194 6.660
1.603 0.000 6.660
1.603 2.194 0.000
ATOMIC_POSITIONS crystal
Zn 0.000 0.000 0.000
Mo 0.334 0.334 0.666
W 0.667 0.667 0.333
```

**Density of states at the Fermi level**: 2.19 states/eV/cell
**Relative energy among the computed polymorphs**: 0.0396 eV/atom
**Crystal system**: orthorhombic